No. 1
An optimized crystal structure of ZrCuBr2. Source: Alexandria, functional PBE.

The structure in POSCAR format:
```
ZrCuBr2
1.0
4.804 0.000 0.000
0.000 3.367 0.000
-2.096 0.000 5.078
Zr Cu Br
1 1 2
Direct
0.000 0.000 0.000
0.500 0.500 0.500
0.000 0.000 0.500
0.500 0.500 0.000
```

Properties
- Crystal system: monoclinic
- Formation energy from raw total energies: -0.10 eV/atom
- Space group: P2/m
- Total moment: 0.000 μB/atom
- Energy above the most stable polymorph in this dataset: 0.4890 eV per atom

***

No. 2
An optimized crystal structure of ZrCuBr2. Source: Alexandria, functional PBE.

The structure in POSCAR format:
```
ZrCuBr2
1.0
3.138 -1.815 0.000
3.138 1.815 0.000
-2.071 0.000 8.779
Zr Cu Br
1 1 2
Direct
0.000 0.000 0.000
0.267 0.267 0.796
0.547 0.547 0.633
0.736 0.736 0.210
```

Properties
- Crystal system: monoclinic
- Formation energy from raw total energies: -0.53 eV/atom
- Space group: Cm
- Total moment: 0.001 μB/atom
- Energy above the most stable polymorph in this dataset: 0.0581 eV per atom

***

No. 3
An optimized crystal structure of DyBr. Source: Alexandria, functional PBE.

The structure in POSCAR format:
```
DyBr
1.0
3.737 0.000 0.000
0.000 3.737 0.000
0.000 0.000 9.169
Dy Br
2 2
Direct
0.250 0.250 0.131
0.750 0.750 0.869
0.250 0.250 0.701
0.750 0.750 0.299
```

Properties
- Crystal system: tetragonal
- Formation energy from raw total energies: -1.14 eV/atom
- Space group: P4/nmm
- Total moment: 0.000 μB/atom

***

No. 4
An optimized crystal structure of DyBr4. Source: Alexandria, functional PBE.

The structure in POSCAR format:
```
DyBr4
1.0
5.595 0.000 0.000
0.000 5.595 0.000
0.000 0.000 5.595
Dy Br
1 4
Direct
0.000 0.000 0.000
0.000 0.000 0.500
0.000 0.500 0.000
0.500 0.000 0.000
0.500 0.500 0.500
```

Properties
- Crystal system: cubic
- Formation energy from raw total energies: -1.17 eV/atom
- Space group: Pm-3m
- Total moment: 0.202 μB/atom

***

No. 5
An optimized crystal structure of DyErBr2. Source: Alexandria, functional PBE.

The structure in POSCAR format:
```
DyErBr2
1.0
1.820 1.051 9.964
-1.820 1.051 9.964
0.000 -2.102 9.964
Dy Er Br
1 1 2
Direct
0.000 0.000 0.000
0.500 0.500 0.500
0.404 0.404 0.404
0.596 0.596 0.596
```

Properties
- Crystal system: trigonal
- Formation energy from raw total energies: -0.96 eV/atom
- Space group: R-3m
- Total moment: 0.000 μB/atom

***

No. 6
An optimized crystal structure of DyErBr3. Source: Alexandria, functional PBE.

The structure in POSCAR format:
```
DyErBr3
1.0
9.247 -1.937 0.000
9.247 1.937 0.000
-6.535 0.000 9.356
Dy Er Br
2 2 6
Direct
0.135 0.135 0.283
0.865 0.865 0.717
0.431 0.431 0.041
0.569 0.569 0.959
0.030 0.030 0.743
0.210 0.210 0.119
0.331 0.331 0.493
0.669 0.669 0.507
0.790 0.790 0.881
0.970 0.970 0.257
```

Properties
- Crystal system: monoclinic
- Formation energy from raw total energies: -1.49 eV/atom
- Space group: C2/m
- Total moment: 0.000 μB/atom

***

> The lowest formation energy from raw total energies belongs to which entry?

DyErBr3